(1)
# NaW2I2

A relaxed structure of NaW2I2 (PBE-GGA, Alexandria).

Calculated values
Distance to the lowest polymorph of the same formula (kJ/mol of atoms): 0.00
Spin magnetization (μB per formula unit): 0.0
DOS(E_F) (states/eV/f.u.): 5.35
Raw formation energy (eV per formula unit): 5.22
Space group: No. 139

abc: 6.071 6.071 6.071
angles: 129.28 129.28 74.55
Fractional coordinates of all 5 atoms:
1 Na 0.000 0.000 0.000
2 W 0.382 0.382 0.000
3 W 0.618 0.618 0.000
4 I 0.250 0.750 0.500
5 I 0.750 0.250 0.500

---

(2)
# Na3YI

A relaxed structure of Na3YI (PBE-GGA, Alexandria).

Calculated values
Distance to the lowest polymorph of the same formula (kJ/mol of atoms): 0.00
Spin magnetization (μB per formula unit): 1.3
DOS(E_F) (states/eV/f.u.): 3.39
Raw formation energy (eV per formula unit): 0.78
Space group: No. 221

abc: 5.979 5.979 5.979
angles: 90.00 90.00 90.00
Fractional coordinates of all 5 atoms:
1 Na 0.000 0.000 0.500
2 Na 0.000 0.500 0.000
3 Na 0.500 0.000 0.000
4 Y 0.500 0.500 0.500
5 I 0.000 0.000 0.000

---

(3)
# NaY2I

A relaxed structure of NaY2I (PBE-GGA, Alexandria).

Calculated values
Distance to the lowest polymorph of the same formula (kJ/mol of atoms): 0.00
Spin magnetization (μB per formula unit): 0.0
DOS(E_F) (states/eV/f.u.): 5.42
Raw formation energy (eV per formula unit): 0.23
Space group: No. 225

abc: 5.501 5.501 5.501
angles: 60.00 60.00 60.00
Fractional coordinates of all 4 atoms:
1 Na 0.000 0.000 0.000
2 Y 0.250 0.250 0.250
3 Y 0.750 0.750 0.750
4 I 0.500 0.500 0.500

---

(4)
# Na2YI6

A relaxed structure of Na2YI6 (PBE-GGA, Alexandria).

Calculated values
Spin magnetization (μB per formula unit): 0.0
DOS(E_F) (states/eV/f.u.): 15.15
Raw formation energy (eV per formula unit): -9.70
Space group: No. 136

abc: 7.491 7.491 14.001
angles: 90.00 90.00 90.00
Fractional coordinates of all 18 atoms:
1 Na 0.000 0.000 0.168
2 Na 0.000 0.000 0.832
3 Na 0.500 0.500 0.332
4 Na 0.500 0.500 0.668
5 Y 0.000 0.000 0.500
6 Y 0.500 0.500 0.000
7 I 0.197 0.197 0.343
8 I 0.197 0.197 0.657
9 I 0.213 0.213 0.000
10 I 0.287 0.713 0.500
11 I 0.303 0.697 0.157
12 I 0.303 0.697 0.843
13 I 0.697 0.303 0.157
14 I 0.697 0.303 0.843
15 I 0.713 0.287 0.500
16 I 0.787 0.787 0.000
17 I 0.803 0.803 0.343
18 I 0.803 0.803 0.657

---

(5)
# NaYI3

A relaxed structure of NaYI3 (PBE-GGA, Alexandria).

Calculated values
Spin magnetization (μB per formula unit): 0.0
DOS(E_F) (states/eV/f.u.): 3.61
Raw formation energy (eV per formula unit): -4.90
Space group: No. 221

abc: 6.046 6.046 6.046
angles: 90.00 90.00 90.00
Fractional coordinates of all 5 atoms:
1 Na 0.000 0.000 0.000
2 Y 0.500 0.500 0.500
3 I 0.000 0.500 0.500
4 I 0.500 0.000 0.500
5 I 0.500 0.500 0.000

---

(6)
# Na3YI

A relaxed structure of Na3YI (PBE-GGA, Alexandria).

Calculated values
Distance to the lowest polymorph of the same formula (kJ/mol of atoms): 42.50
Spin magnetization (μB per formula unit): 2.8
DOS(E_F) (states/eV/f.u.): 2.68
Raw formation energy (eV per formula unit): 2.98
Space group: No. 221

abc: 6.764 6.764 6.764
angles: 90.00 90.00 90.00
Fractional coordinates of all 5 atoms:
1 Na 0.000 0.000 0.500
2 Na 0.000 0.500 0.000
3 Na 0.500 0.000 0.000
4 Y 0.000 0.000 0.000
5 I 0.500 0.500 0.500

---

Taking the records one at a time from the top gives calculated density values of 8.2; 2.2; 4.6; 3.8; 3.7; 1.5 Mg/m³.